Material: Nb2CuRu4
Method: DFT, PBE
State: relaxed

The formation energy is 0.279 eV per atom. The magnetization comes out at 0.0 μB/f.u.

Cell lengths 3.5048, 3.5048, 9.4642 Å; angles 100.67, 100.67, 89.99 degrees
Atoms (fractional coordinates):
1 Ru 0.1389 0.1389 0.2779
2 Ru 0.8611 0.8611 0.7221
3 Ru 0.7500 0.2500 0.5000
4 Ru 0.2500 0.7500 0.5000
5 Nb 0.5842 0.5842 0.1684
6 Nb 0.4158 0.4158 0.8316
7 Cu 0.0000 0.0000 0.0000